A geometry-optimized PrThAl structure, computed with PBE-GGA.

abc: 5.390 5.390 3.222
angles: 90.00 90.00 120.00
Fractional coordinates of all 3 atoms:
Pr  0.000  0.000  0.000
Th  0.333  0.667  0.011
Al  0.667  0.333  0.507

DOS at the Fermi energy = 0.662 states/eV/atom
Total energy = -5.220 eV per atom
Total magnetization = 0.0 μB per formula unit
Space-group type = P3m1